No. 1
The following is a PBE-GGA calculation of a geometry-optimized MnTlSi2 structure, from the Alexandria database. Values from VASP.

Cell and atoms, written as Quantum ESPRESSO input:
```
&SYSTEM
  ibrav = 0, nat = 4, ntyp = 3
/
ATOMIC_SPECIES
Mn 54.94 Mn.upf
Tl 204.38 Tl.upf
Si 28.09 Si.upf
CELL_PARAMETERS angstrom
2.8734 0.0000 0.0000
0.0000 2.9606 0.0000
0.0000 0.0000 8.0321
ATOMIC_POSITIONS angstrom
Mn 0.0000 0.0000 0.0000
Tl 1.4367 0.0000 4.0160
Si 1.4367 1.4803 1.2970
Si 1.4367 1.4803 6.7351
```

Computed properties:
Total magnetization, μB per formula unit: 0.00
E_form (uncorrected), kJ/mol of formula units: 51
Offset from the most stable computed form, meV per atom: 0.0
V, Å³ per atom: 17.08

***

No. 2
The following is a PBE-GGA calculation of a geometry-optimized VSiHRh2 structure, from the Alexandria database. Values from VASP.

Cell and atoms, written as Quantum ESPRESSO input:
```
&SYSTEM
  ibrav = 0, nat = 5, ntyp = 4
/
ATOMIC_SPECIES
V 50.94 V.upf
Si 28.09 Si.upf
H 1.01 H.upf
Rh 102.91 Rh.upf
CELL_PARAMETERS angstrom
3.8912 0.0000 0.0000
0.0000 3.8912 0.0000
0.0000 0.0000 3.7795
ATOMIC_POSITIONS angstrom
V 0.0000 0.0000 0.0000
Si 1.9456 1.9456 0.0000
H 0.0000 0.0000 1.8898
Rh 0.0000 1.9456 1.8898
Rh 1.9456 0.0000 1.8898
```

Computed properties:
Total magnetization, μB per formula unit: 2.14
V, Å³ per atom: 11.45
Uncorrected energy, eV/atom: -6.8455

***

No. 3
The following is a PBE-GGA calculation of a geometry-optimized Nd2Ho5Er2 structure, from the Alexandria database. Values from VASP.

Cell and atoms, written as Quantum ESPRESSO input:
```
&SYSTEM
  ibrav = 0, nat = 18, ntyp = 3
/
ATOMIC_SPECIES
Nd 144.24 Nd.upf
Ho 164.93 Ho.upf
Er 167.26 Er.upf
CELL_PARAMETERS angstrom
-7.4450 5.8696 3.3568
7.4450 -5.8696 3.3568
7.4450 5.8696 -3.3568
ATOMIC_POSITIONS angstrom
Nd 1.8905 0.0306 0.0000
Nd 5.5546 0.0306 0.0000
Nd 1.8905 5.8390 3.3568
Nd 5.5546 5.8390 3.3568
Ho 6.6612 2.9951 -0.9996
Ho 8.2289 -2.8745 2.3572
Ho 3.7225 2.9059 0.9998
Ho -2.1308 3.1062 1.1612
Ho 9.5759 3.1062 1.1612
Ho 0.7838 2.8745 2.3572
Ho 6.6612 2.8745 2.3572
Ho 3.7225 2.9637 4.3566
Ho 2.1308 8.6330 1.1612
Ho -2.1308 2.7634 4.5180
Er 3.7225 -0.1419 3.0227
Er 3.7225 6.0115 -0.3340
Er 0.0000 5.8696 0.3050
Er 0.0000 0.0000 3.6618
```

Computed properties:
Total magnetization, μB per formula unit: 0.00
Energy of formation from the pure elements, kJ per mole of atoms: 20.99
Offset from the most stable computed form, meV per atom: 0.0
V, Å³ per atom: 32.60

***

No. 4
The following is a PBE-GGA calculation of a geometry-optimized Ce3AgHg structure, from the Alexandria database. Values from VASP.

Cell and atoms, written as Quantum ESPRESSO input:
```
&SYSTEM
  ibrav = 0, nat = 10, ntyp = 3
/
ATOMIC_SPECIES
Ce 140.12 Ce.upf
Ag 107.87 Ag.upf
Hg 200.59 Hg.upf
CELL_PARAMETERS angstrom
9.7115 -2.2789 0.0000
9.7115 2.2789 0.0000
-1.7571 0.0000 6.0172
ATOMIC_POSITIONS angstrom
Ce 0.1350 0.0000 1.3088
Ce 2.1507 0.0000 4.9115
Ce 6.0609 0.0000 4.8660
Ce 11.6049 0.0000 1.1512
Ce 15.5151 0.0000 1.1057
Ce 17.5309 0.0000 4.7084
Ag 3.7912 0.0000 2.1456
Ag 13.8747 0.0000 3.8716
Hg 7.6859 0.0000 2.1035
Hg 9.9799 0.0000 3.9137
```

Computed properties:
Total magnetization, μB per formula unit: 2.17
Energy of formation from the pure elements, kJ per mole of atoms: -11.67
V, Å³ per atom: 26.63